Record 1
Re5Pt4: optimized geometry, PBE-GGA.

Geometry as POSCAR:
```
Re5Pt4
1.0
-1.513 3.476 -1.042
-3.357 -0.784 -5.158
-4.012 -2.834 3.790
Pt Re
4 5
Direct
0.674 0.326 0.674
0.000 0.674 0.674
0.326 0.674 0.326
0.000 0.326 0.326
0.339 0.000 0.678
0.339 0.322 0.000
0.661 0.678 0.000
0.661 0.000 0.322
0.000 0.000 0.000
```

Properties
Calculated density in g cm⁻³: 20.874
SG: I4/mmm (139)
Energy relative to the lowest polymorph listed for this composition in meV per atom: 0.0



Record 2
Re3Pt2: optimized geometry, PBE-GGA.

Geometry as POSCAR:
```
Re3Pt2
1.0
0.063 -0.100 -4.250
-3.267 -1.707 2.119
-2.625 4.833 -0.153
Re Pt
3 2
Direct
0.333 0.667 0.403
0.667 0.333 0.597
0.000 0.000 0.000
0.667 0.333 0.127
0.333 0.667 0.873
```

Properties
Calculated density in g cm⁻³: 18.293
SG: P-3m1 (164)
Energy relative to the lowest polymorph listed for this composition in meV per atom: 773.7



Record 3
RePt: optimized geometry, PBE-GGA.

Geometry as POSCAR:
```
RePt
1.0
-1.863 0.204 -2.072
-0.477 -4.419 -0.007
-3.593 0.383 3.268
Re Pt
2 2
Direct
0.250 0.250 0.413
0.750 0.750 0.587
0.250 0.750 0.088
0.750 0.250 0.912
```

Properties
Calculated density in g cm⁻³: 20.930
SG: Pmmn (59)
Energy relative to the lowest polymorph listed for this composition in meV per atom: 63.8



Record 4
Re4Pt3: optimized geometry, PBE-GGA.

Geometry as POSCAR:
```
Re4Pt3
1.0
2.538 -4.397 0.000
2.538 4.397 0.000
0.000 0.000 4.916
Pt Re
3 4
Direct
0.000 0.500 0.000
0.500 0.500 0.000
0.500 0.000 0.000
0.667 0.333 0.500
0.000 0.000 0.736
0.000 0.000 0.264
0.333 0.667 0.500
```

Properties
Calculated density in g cm⁻³: 20.128
SG: P6/mmm (191)
Energy relative to the lowest polymorph listed for this composition in meV per atom: 324.3



Record 5
RePt: optimized geometry, PBE-GGA.

Geometry as POSCAR:
```
RePt
1.0
-4.608 1.130 0.451
-2.569 -3.483 -1.994
3.500 -0.165 3.230
Re Pt
2 2
Direct
0.125 0.375 0.250
0.875 0.625 0.750
0.625 0.875 0.250
0.375 0.125 0.750
```

Properties
Calculated density in g cm⁻³: 20.919
SG: I4_1/amd (141)
Energy relative to the lowest polymorph listed for this composition in meV per atom: 80.8



Record 6
RePt: optimized geometry, PBE-GGA.

Geometry as POSCAR:
```
RePt
1.0
-1.508 -0.948 2.057
-5.582 -1.573 -4.818
3.510 -8.435 -1.312
Re Pt
6 6
Direct
0.500 0.313 0.537
0.500 0.687 0.537
0.000 0.500 0.045
0.500 0.813 0.037
0.000 0.000 0.545
0.500 0.187 0.037
0.000 0.174 0.294
0.500 0.500 0.295
0.000 0.674 0.794
0.000 0.826 0.294
0.000 0.326 0.794
0.500 0.000 0.795
```

Properties
Calculated density in g cm⁻³: 20.065
SG: Amm2 (38)
Energy relative to the lowest polymorph listed for this composition in meV per atom: 320.8



Record 7
RePt2: optimized geometry, PBE-GGA.

Geometry as POSCAR:
```
RePt2
1.0
-1.201 -2.662 2.668
3.764 -0.706 0.990
-1.849 10.176 6.388
Pt Re
8 4
Direct
0.998 0.498 0.996
0.415 0.415 0.830
0.835 0.335 0.670
0.585 0.585 0.170
0.502 0.002 0.004
0.748 0.748 0.496
0.252 0.252 0.504
0.665 0.165 0.330
0.161 0.661 0.321
0.911 0.911 0.821
0.089 0.089 0.179
0.339 0.839 0.679
```

Properties
Calculated density in g cm⁻³: 20.687
SG: I4_1/amd (141)
Energy relative to the lowest polymorph listed for this composition in meV per atom: 112.3



Record 8
Re3Pt: optimized geometry, PBE-GGA.

Geometry as POSCAR:
```
Re3Pt
1.0
3.911 0.000 0.000
0.000 3.911 0.000
0.000 0.000 3.911
Pt Re
1 3
Direct
0.000 0.000 0.000
0.500 0.000 0.500
0.500 0.500 0.000
0.000 0.500 0.500
```

Properties
Calculated density in g cm⁻³: 20.921
SG: Pm-3m (221)



no.,total magnetic moment (μB per cell),formation enthalpy at 0 K (meV per atom)
1,0.0,-137
2,0.1,750
3,0.0,-62
4,0.0,482
5,0.0,-45
6,0.0,195
7,0.0,-35
8,0.0,-60